(1)
## Sr2LiI (PBE)

Data for a relaxed structure of Sr2LiI.

abc: 4.1085 4.1085 9.1796
angles: 90.00 90.00 90.00
With the nearest neighbours (Å) after each atom.
Element x y z (fractional)
Sr 0.0000 0.0000 0.2337  4 Li 3.61, 4 I 3.80
Sr 0.0000 0.0000 0.7663  4 Li 3.61, 4 I 3.80
Li 0.5000 0.5000 0.0000  8 Sr 3.61
I 0.5000 0.5000 0.5000  8 Sr 3.80, 4 I 4.11

Results
Its density of states at the Fermi level is 3.14 states/eV/f.u. The space group is No. 123. As for the energy above the most stable polymorph in this dataset: 10.0 meV/atom. Its spin magnetization is 0.00 μB/f.u. Its calculated total energy is -0.1630 Ry per atom.

(2)
## La2PmY (PBE)

Data for a relaxed structure of La2PmY.

abc: 5.8607 5.8607 5.8607
angles: 60.00 60.00 60.00
With the nearest neighbours (Å) after each atom.
Element x y z (fractional)
Y 0.5000 0.5000 0.5000  8 La 3.59
Pm 0.0000 0.0000 0.0000  8 La 3.59
La 0.2500 0.2500 0.2500  4 Pm 3.59, 4 Y 3.59
La 0.7500 0.7500 0.7500  4 Y 3.59, 4 Pm 3.59

Results
Its density of states at the Fermi level is 8.20 states/eV/f.u. The space group is No. 225. As for the energy above the most stable polymorph in this dataset: 88.0 meV/atom. Its spin magnetization is 0.00 μB/f.u. Its calculated total energy is -0.3801 Ry per atom. The formation energy comes out at 97 meV/atom.

(3)
## SiIrOs (PBE)

Data for a relaxed structure of SiIrOs.

abc: 5.3119 5.3119 5.3119
angles: 148.47 148.47 45.19
With the nearest neighbours (Å) after each atom.
Element x y z (fractional)
Ir 0.0181 0.0181 0.0000  4 Si 2.52
Si 0.6696 0.6696 0.0000  4 Os 2.47, 4 Ir 2.52
Os 0.3123 0.3123 0.0000  4 Si 2.47

Results
Its density of states at the Fermi level is 2.27 states/eV/f.u. The space group is No. 107. As for the energy above the most stable polymorph in this dataset: 32.9 meV/atom. Its spin magnetization is 0.00 μB/f.u. Its calculated total energy is -0.6374 Ry per atom.

(4)
## AcScAlGe2 (PBE)

Data for a relaxed structure of AcScAlGe2.

abc: 4.3151 4.3151 6.9236
angles: 108.16 108.16 90.00
With the nearest neighbours (Å) after each atom.
Element x y z (fractional)
Ge 0.3842 0.3842 0.7684  2 Al 2.73, 2 Sc 2.73, 1 Ge 2.88
Ge 0.6158 0.6158 0.2316  2 Sc 2.73, 2 Al 2.73, 1 Ge 2.88
Al 0.7500 0.2500 0.5000  4 Ge 2.73, 4 Sc 3.05
Ac 0.0000 0.0000 0.0000  8 Ge 3.37
Sc 0.2500 0.7500 0.5000  4 Ge 2.73, 4 Al 3.05

Results
Its density of states at the Fermi level is 2.93 states/eV/f.u. The space group is No. 119. Its spin magnetization is 0.00 μB/f.u. Its calculated total energy is -0.3935 Ry per atom. The formation energy comes out at -671 meV/atom.

(5)
## AlGa5Ag4 (PBE)

Data for a relaxed structure of AlGa5Ag4.

abc: 2.8181 3.0700 20.7322
angles: 83.46 90.01 89.99
With the nearest neighbours (Å) after each atom.
Element x y z (fractional)
Ga 0.5000 0.5000 0.5000  8 Ag 2.78-3.11, 4 Ga 2.82-3.07
Ga 0.4961 0.4268 0.2973  4 Ag 2.78-2.79, 4 Ga 2.82-3.07
Ga 0.5027 0.5730 0.9038  4 Ga 2.82-3.07, 4 Ag 2.86-2.99, 4 Al 2.87-2.88
Ga 0.4973 0.4270 0.0962  4 Ga 2.82-3.07, 4 Ag 2.86-2.99, 4 Al 2.87-2.88
Ga 0.5039 0.5732 0.7027  4 Ag 2.78-2.79, 4 Ga 2.82-3.07
Ag 0.0048 0.1097 0.8044  6 Ga 2.79-2.99, 4 Ag 2.82-3.07
Ag 0.9978 0.9753 0.3997  6 Ga 2.78-3.11, 4 Ag 2.82-3.07
Ag 0.9952 0.8903 0.1956  6 Ga 2.79-2.99, 4 Ag 2.82-3.07
Ag 0.0022 0.0247 0.6003  6 Ga 2.78-3.11, 4 Ag 2.82-3.07
Al 0.0000 0.0000 0.0000  4 Al 2.82-3.07, 8 Ga 2.87-2.88

Results
Its density of states at the Fermi level is 2.26 states/eV/f.u. The space group is No. 2. As for the energy above the most stable polymorph in this dataset: 0.0 meV/atom. Its spin magnetization is 0.00 μB/f.u. Its calculated total energy is -0.2208 Ry per atom. The formation energy comes out at 25 meV/atom.

(6)
## NdSnSe2 (PBE)

Data for a relaxed structure of NdSnSe2.

abc: 4.7960 3.8743 11.8468
angles: 99.41 90.00 90.00
With the nearest neighbours (Å) after each atom.
Element x y z (fractional)
Nd 0.2500 0.4416 0.8832  7 Se 2.94-3.28
Nd 0.7500 0.5584 0.1168  7 Se 2.94-3.28
Se 0.7500 0.6843 0.3687  1 Nd 2.94, 5 Sn 3.00-3.08
Se 0.2500 0.3157 0.6313  1 Nd 2.94, 5 Sn 3.00-3.08
Se 0.7500 0.9451 0.8901  6 Nd 3.08-3.28, 1 Sn 3.10
Se 0.2500 0.0549 0.1099  6 Nd 3.08-3.28, 1 Sn 3.10
Sn 0.2500 0.1874 0.3748  6 Se 3.00-3.10
Sn 0.7500 0.8126 0.6252  6 Se 3.00-3.10

Results
Its density of states at the Fermi level is 1.98 states/eV/f.u. The space group is No. 63. Its spin magnetization is 0.35 μB/f.u. Its calculated total energy is -0.3626 Ry per atom.

Please write out number 2 again, unchanged.
## La2PmY (PBE)

Data for a relaxed structure of La2PmY.

abc: 5.8607 5.8607 5.8607
angles: 60.00 60.00 60.00
With the nearest neighbours (Å) after each atom.
Element x y z (fractional)
Y 0.5000 0.5000 0.5000  8 La 3.59
Pm 0.0000 0.0000 0.0000  8 La 3.59
La 0.2500 0.2500 0.2500  4 Pm 3.59, 4 Y 3.59
La 0.7500 0.7500 0.7500  4 Y 3.59, 4 Pm 3.59

Results
Its density of states at the Fermi level is 8.20 states/eV/f.u. The space group is No. 225. As for the energy above the most stable polymorph in this dataset: 88.0 meV/atom. Its spin magnetization is 0.00 μB/f.u. Its calculated total energy is -0.3801 Ry per atom. The formation energy comes out at 97 meV/atom.

What is the calculated total energy in the first record?
-0.1630 Ry per atom

What is the calculated total energy in the third record?
-0.6374 Ry per atom

Number 3 is which compound?
SiIrOs